Record 1
KCu2F8: optimized geometry, GGA-PBE.

extended XYZ file:
```
11
Lattice="-2.7123 2.7123 6.1638 2.7123 -2.7123 6.1638 2.7123 2.7123 -6.1638" Properties=species:S:1:pos:R:3 pbc="T T T"
K 0.0000 0.0000 0.0000
Cu 2.7123 0.0000 3.0819
Cu 0.0000 2.7123 3.0819
F 3.6029 0.8929 -1.8426
F 0.8929 1.8216 -1.8426
F 1.8216 0.8929 1.8426
F 1.8193 -0.8906 8.0063
F 1.8193 0.8906 4.3212
F -0.8906 1.8193 4.3212
F 0.8929 3.6029 1.8426
F 0.8906 1.8193 8.0063
```

Output
- density (g cm⁻³) = 2.91
- polymorph energy (0 for the lowest one) (meV per atom) = 0
- E_tot (eV per atom) = -3.716

Record 2
KCu2F8: optimized geometry, GGA-PBE.

extended XYZ file:
```
11
Lattice="4.8764 0.0000 0.0000 0.0000 4.8764 0.0000 0.0000 0.0000 6.5224" Properties=species:S:1:pos:R:3 pbc="T T T"
K 0.0000 0.0000 0.0000
Cu 0.0000 2.4382 3.2612
Cu 2.4382 0.0000 3.2612
F 1.2283 1.2283 2.0771
F 1.2283 1.2283 4.4453
F 1.2283 3.6481 2.0771
F 1.2283 3.6481 4.4453
F 3.6481 1.2283 2.0771
F 3.6481 1.2283 4.4453
F 3.6481 3.6481 2.0771
F 3.6481 3.6481 4.4453
```

Output
- density (g cm⁻³) = 3.41
- polymorph energy (0 for the lowest one) (meV per atom) = 250
- E_tot (eV per atom) = -3.466

Record 3
KCu2F5: optimized geometry, GGA-PBE.

extended XYZ file:
```
8
Lattice="-1.9345 1.9345 7.3845 1.9345 -1.9345 7.3845 1.9345 1.9345 -7.3845" Properties=species:S:1:pos:R:3 pbc="T T T"
K 0.0000 0.0000 0.0000
Cu 0.0000 0.0000 5.2104
Cu 0.0000 0.0000 9.5586
F 1.9345 0.0000 2.1896
F 1.9345 0.0000 5.1949
F 0.0000 0.0000 7.3845
F 0.0000 1.9345 2.1896
F 0.0000 1.9345 5.1949
```

Output
- density (g cm⁻³) = 3.92
- E_tot (eV per atom) = -4.155

Record 4
KCu3F8: optimized geometry, GGA-PBE.

extended XYZ file:
```
12
Lattice="5.3238 0.0000 0.0000 -2.6619 4.6105 0.0000 0.0000 0.0000 7.2591" Properties=species:S:1:pos:R:3 pbc="T T T"
K 0.0000 0.0000 0.0000
Cu 0.0000 0.0000 3.6296
Cu 0.0000 3.0737 5.1070
Cu 2.6619 1.5368 2.1522
F -0.7733 1.3916 2.4918
F -1.0701 4.5844 2.4918
F 0.8185 1.3655 4.7673
F 0.0000 3.0737 6.9297
F 2.6619 1.5368 0.3295
F 1.8434 3.2451 2.4918
F 3.7320 0.0261 4.7673
F 3.4352 3.2190 4.7673
```

Output
- density (g cm⁻³) = 3.56
- polymorph energy (0 for the lowest one) (meV per atom) = 113
- E_tot (eV per atom) = -3.974

Record 5
K2CuF8: optimized geometry, GGA-PBE.

extended XYZ file:
```
11
Lattice="5.1799 -2.7565 0.0000 5.1799 2.7565 0.0000 -3.1305 0.0000 6.2954" Properties=species:S:1:pos:R:3 pbc="T T T"
K 1.8507 0.0000 1.4168
K 5.3786 0.0000 4.8786
Cu -1.5652 0.0000 3.1477
F 2.4072 1.4874 3.5890
F -0.8823 0.0000 5.0127
F 4.8220 1.4874 2.7064
F 2.2178 0.0000 5.5867
F 5.0114 0.0000 0.7087
F 2.4072 -1.4874 3.5890
F 8.1115 0.0000 1.2827
F 4.8220 -1.4874 2.7064
```

Output
- density (g cm⁻³) = 2.71
- E_tot (eV per atom) = -3.528

Record 6
KCuF2: optimized geometry, GGA-PBE.

extended XYZ file:
```
4
Lattice="0.0000 3.0336 3.0336 3.0336 0.0000 3.0336 3.0336 3.0336 0.0000" Properties=species:S:1:pos:R:3 pbc="T T T"
K 0.0000 0.0000 0.0000
Cu 3.0336 3.0336 3.0336
F 1.5168 1.5168 1.5168
F 4.5503 4.5503 4.5503
```

Output
- density (g cm⁻³) = 4.18
- polymorph energy (0 for the lowest one) (meV per atom) = 459
- E_tot (eV per atom) = -3.717

Number 1: DOS at the Fermi energy 14.52 states/eV/f.u., total moment 1.2 μB/cell, formation energy (no corrections) -1603 kJ/mol of formula units. Number 2: DOS at the Fermi energy 8.04 states/eV/f.u., total moment 5.0 μB/cell, formation energy (no corrections) -1337 kJ/mol of formula units. Number 3: DOS at the Fermi energy 2.94 states/eV/f.u., total moment 0.8 μB/cell, formation energy (no corrections) -1408 kJ/mol of formula units. Number 4: DOS at the Fermi energy 8.48 states/eV/f.u., total moment 4.0 μB/cell, formation energy (no corrections) -1865 kJ/mol of formula units. Number 5: DOS at the Fermi energy 3.20 states/eV/f.u., total moment 1.0 μB/cell, formation energy (no corrections) -1693 kJ/mol of formula units. Number 6: DOS at the Fermi energy 0.00 states/eV/f.u., total moment 0.0 μB/cell, formation energy (no corrections) -572 kJ/mol of formula units.